First-principles (PBE with a Hubbard U) data for a relaxed Pr2NdWO8 crystal, as listed in Alexandria via LeMat-Bulk.

Values from the calculation:
DOS at the Fermi energy (states/eV per cell): 6.48
DFT total energy (eV per atom): -7.793

Structure (CIF):
```
data_Pr2NdWO8
_cell_length_a 5.250
_cell_length_b 7.112
_cell_length_c 5.258
_cell_angle_alpha 90.00
_cell_angle_beta 90.48
_cell_angle_gamma 90.00
_space_group_name_H-M_alt 'P 1 2/m 1'
_space_group_IT_number 10
_space_group_name_Hall '-P 2y'
loop_
_atom_site_label
_atom_site_type_symbol
_atom_site_fract_x
_atom_site_fract_y
_atom_site_fract_z
_atom_site_occupancy
Pr1 Pr 0.000 0.246 0.000 1
Nd1 Nd 0.500 0.500 0.500 1
W1 W 0.500 0.000 0.500 1
O1 O 0.191 0.500 0.193 1
O2 O 0.235 0.000 0.237 1
O3 O 0.323 0.204 0.678 1
```